Below is KZnReH2 after structural relaxation, with properties calculated at the PBE-GGA level.

As for the density of states at the Fermi level: 3.52 states/eV/cell. The value obtained for the energy above the lowest structure with this stoichiometry is 0.000 eV per atom.

Cell lengths 3.943, 3.943, 5.912 Å; angles 90.00, 90.00, 90.00 degrees
Space group P4/mmm (No. 123)
Symmetry-distinct sites (fractional):
K  0.000  0.000  0.000 (multiplicity 1)
Zn  0.000  0.000  0.500 (multiplicity 1)
Re  0.500  0.500  0.500 (multiplicity 1)
H  0.000  0.500  0.000 (multiplicity 2)